# 1
PuClO, relaxed, DFT PBEsol; ΔE_f (raw) = -2471 meV/atom; symmetry = No. 129
1.0
3.915 0.000 0.000
0.000 3.915 0.000
0.000 0.000 6.672
Pu Cl O
2 2 2
direct
0.250 0.250 0.176
0.750 0.750 0.824
0.250 0.250 0.629
0.750 0.750 0.371
0.250 0.750 0.000
0.750 0.250 0.000


# 2
TcBr2O, relaxed, DFT PBEsol; ΔE_f (raw) = 691 meV/atom; symmetry = No. 225
1.0
0.000 3.073 3.073
3.073 0.000 3.073
3.073 3.073 0.000
Tc Br O
1 2 1
direct
0.000 0.000 0.000
0.250 0.250 0.250
0.750 0.750 0.750
0.500 0.500 0.500


# 3
Ca3Mg, relaxed, DFT PBEsol; energy relative to the elements = -0.004 eV per atom; symmetry = No. 225
1.0
0.000 4.109 4.109
4.109 0.000 4.109
4.109 4.109 0.000
Ca Mg
3 1
direct
0.000 0.000 0.000
0.250 0.250 0.250
0.750 0.750 0.750
0.500 0.500 0.500